K2TaTe | Alexandria via LeMat-Bulk | PBE-GGA | optimized geometry; N(E_F) = 3.102 states/eV/cell; calculated total energy = -3.65 eV/atom
1.0
3.180 0.000 0.000
0.000 3.180 0.000
0.000 0.000 11.738
K Ta Te
2 1 1
direct
0.000 0.000 0.239
0.000 0.000 0.761
0.500 0.500 0.500
0.500 0.500 0.000